A relaxed KTeOs crystal, computed with PBE-GGA.

```
3
Lattice="4.3111 -1.8039 0.6929 0.9183 -2.4909 3.9080 0.6807 -4.6668 -0.2788" Properties=species:S:1:pos:R:3 pbc="T T T"
Os 0.0000 0.0000 0.0000
Te 4.4326 -6.7212 3.2416
K 1.4775 -2.2404 1.0805
```

E above lowest polymorph   0 meV/atom
Crystal system   cubic